Fe9Ni11Pt4: relaxed, PBE-GGA.

a = 2.5920 Å, b = 10.6995 Å, c = 10.6995 Å
α = 91.91°, β = 90.00°, γ = 90.00°
With the nearest neighbours (Å) after each atom.
Atoms (fractional coordinates):
Ni1 0.0000 0.0652 0.4062  4 Fe 2.47-2.57, 4 Ni 2.48-2.62, 2 Pt 2.58
Ni2 0.0000 0.1667 0.8333  8 Fe 2.53-2.55, 4 Ni 2.56-2.60
Ni3 0.0000 0.5938 0.9348  4 Fe 2.47-2.57, 4 Ni 2.48-2.62, 2 Pt 2.58
Ni4 0.0000 0.9348 0.5938  4 Fe 2.47-2.57, 4 Ni 2.48-2.62, 2 Pt 2.58
Ni5 0.0000 0.4062 0.0652  4 Fe 2.47-2.57, 4 Ni 2.48-2.62, 2 Pt 2.58
Ni6 0.0000 0.8333 0.1667  8 Fe 2.53-2.55, 4 Ni 2.56-2.60
Ni7 0.0000 0.7635 0.7635  4 Fe 2.52, 4 Ni 2.59-2.62, 4 Pt 2.65
Ni8 0.0000 0.6640 0.3360  6 Fe 2.58-2.84, 3 Ni 2.59-2.60, 4 Pt 2.69
Ni9 0.0000 0.3360 0.6640  6 Fe 2.58-2.84, 3 Ni 2.59-2.60, 4 Pt 2.69
Ni10 0.0000 0.0000 0.0000  8 Fe 2.52, 4 Ni 2.56-2.59
Ni11 0.0000 0.2365 0.2365  4 Fe 2.52, 4 Ni 2.59-2.62, 4 Pt 2.65
Fe1 0.5000 0.9634 0.7999  4 Fe 2.51-2.59, 8 Ni 2.52-2.57
Fe2 0.5000 0.6327 0.1288  6 Ni 2.47-2.58, 1 Pt 2.50, 3 Fe 2.56-2.59
Fe3 0.5000 0.2001 0.0366  4 Fe 2.51-2.59, 8 Ni 2.52-2.57
Fe4 0.5000 0.3673 0.8712  6 Ni 2.47-2.58, 1 Pt 2.50, 3 Fe 2.56-2.59
Fe5 0.5000 0.7999 0.9634  4 Fe 2.51-2.59, 8 Ni 2.52-2.57
Fe6 0.5000 0.0366 0.2001  4 Fe 2.51-2.59, 8 Ni 2.52-2.57
Fe7 0.5000 0.1288 0.6327  6 Ni 2.47-2.58, 1 Pt 2.50, 3 Fe 2.56-2.59
Fe8 0.5000 0.8712 0.3673  6 Ni 2.47-2.58, 1 Pt 2.50, 3 Fe 2.56-2.59
Fe9 0.5000 0.5000 0.5000  4 Pt 2.49, 2 Fe 2.59
Pt1 0.5000 0.2706 0.4511  2 Fe 2.49-2.50, 6 Ni 2.58-2.69, 3 Pt 2.59-2.78
Pt2 0.5000 0.5489 0.7294  2 Fe 2.49-2.50, 6 Ni 2.58-2.69, 3 Pt 2.59-2.78
Pt3 0.5000 0.7294 0.5489  2 Fe 2.49-2.50, 6 Ni 2.58-2.69, 3 Pt 2.59-2.78
Pt4 0.5000 0.4511 0.2706  2 Fe 2.49-2.50, 6 Ni 2.58-2.69, 3 Pt 2.59-2.78

As for the formation energy: -0.9 kcal/mol of atoms. As for the total magnetization: 33.061 Bohr magnetons per cell. The calculation puts the mass density at 10.798 Mg/m³.

=====

Al2ReWC: relaxed, PBE-GGA.

a = 4.7972 Å, b = 3.8251 Å, c = 4.7972 Å
α = 90.00°, β = 90.00°, γ = 90.00°
With the nearest neighbours (Å) after each atom.
Atoms (fractional coordinates):
Al1 0.5000 0.0000 0.0000  2 Re 2.40
Al2 0.0000 0.0000 0.5000  2 Re 2.40
W1 0.5000 0.5000 0.5000  8 Al 3.07, 4 C 3.39
C1 0.0000 0.5000 0.0000  2 Re 1.91
Re1 0.0000 0.0000 0.0000  2 C 1.91

As for the formation energy: 35.7 kcal/mol of atoms. As for the total magnetization: 1.034 Bohr magnetons per cell. The calculation puts the mass density at 8.225 Mg/m³.

=====

FeAgHg: relaxed, PBE-GGA.

a = 4.4129 Å, b = 4.4129 Å, c = 4.4129 Å
α = 60.00°, β = 60.00°, γ = 60.00°
With the nearest neighbours (Å) after each atom.
Atoms (fractional coordinates):
Fe1 0.7500 0.7500 0.7500  4 Hg 2.70, 4 Ag 2.70
Hg1 0.0000 0.0000 0.0000  4 Fe 2.70
Ag1 0.5000 0.5000 0.5000  4 Fe 2.70

As for the formation energy: 13.7 kcal/mol of atoms. As for the total magnetization: 2.995 Bohr magnetons per cell. The calculation puts the mass density at 9.955 Mg/m³.

=====

TlCuAu14: relaxed, PBE-GGA.

a = 6.1580 Å, b = 6.1580 Å, c = 7.7236 Å
α = 90.00°, β = 90.00°, γ = 90.00°
With the nearest neighbours (Å) after each atom.
Atoms (fractional coordinates):
Au1 0.3750 0.8750 0.5000  8 Au 2.90, 2 Cu 3.08, 2 Tl 3.08
Au2 0.8750 0.3750 0.0000  12 Au 2.92-3.08
Au3 0.8750 0.3750 0.5000  8 Au 2.90, 2 Cu 3.08, 2 Tl 3.08
Au4 0.6165 0.1336 0.2513  1 Cu 2.85, 10 Au 2.86-3.18, 1 Tl 2.96
Au5 0.6164 0.6164 0.2512  1 Cu 2.85, 10 Au 2.86-3.18, 1 Tl 2.96
Au6 0.6165 0.1336 0.7487  1 Cu 2.85, 10 Au 2.86-3.18, 1 Tl 2.96
Au7 0.3750 0.8750 0.0000  12 Au 2.92-3.08
Au8 0.1336 0.6165 0.2513  1 Cu 2.85, 10 Au 2.86-3.18, 1 Tl 2.96
Au9 0.1336 0.6165 0.7487  1 Cu 2.85, 10 Au 2.86-3.18, 1 Tl 2.96
Au10 0.3750 0.3750 0.0000  12 Au 2.86-3.08
Au11 0.1336 0.1336 0.7488  1 Cu 2.85, 10 Au 2.86-3.18, 1 Tl 2.96
Au12 0.1336 0.1336 0.2512  1 Cu 2.85, 10 Au 2.86-3.18, 1 Tl 2.96
Au13 0.8750 0.8750 0.0000  12 Au 2.97-3.08
Au14 0.6164 0.6164 0.7488  1 Cu 2.85, 10 Au 2.86-3.18, 1 Tl 2.96
Cu1 0.3750 0.3750 0.5000  12 Au 2.85-3.08
Tl1 0.8750 0.8750 0.5000  12 Au 2.96-3.08

As for the formation energy: 0.7 kcal/mol of atoms. As for the total magnetization: 0.000 Bohr magnetons per cell. The calculation puts the mass density at 17.153 Mg/m³.

=====

UIn3O8: relaxed, PBE-GGA.

a = 5.2684 Å, b = 5.2684 Å, c = 5.2684 Å
α = 90.00°, β = 90.00°, γ = 90.00°
With the nearest neighbours (Å) after each atom.
Atoms (fractional coordinates):
In1 0.5000 0.0000 0.5000  8 O 2.30
In2 0.0000 0.5000 0.5000  8 O 2.30
In3 0.5000 0.5000 0.0000  8 O 2.30
O1 0.2449 0.7551 0.2449  1 U 2.23, 3 In 2.30
O2 0.7551 0.7551 0.7551  1 U 2.23, 3 In 2.30
O3 0.7551 0.2449 0.2449  1 U 2.23, 3 In 2.30
O4 0.7551 0.2449 0.7551  1 U 2.23, 3 In 2.30
O5 0.2449 0.7551 0.7551  1 U 2.23, 3 In 2.30
O6 0.2449 0.2449 0.7551  1 U 2.23, 3 In 2.30
O7 0.7551 0.7551 0.2449  1 U 2.23, 3 In 2.30
O8 0.2449 0.2449 0.2449  1 U 2.23, 3 In 2.30
U1 0.0000 0.0000 0.0000  8 O 2.23

As for the total magnetization: 0.011 Bohr magnetons per cell. Its raw formation energy is -21.43 eV/f.u. The calculation puts the mass density at 8.068 Mg/m³.

=====

PuV2Os: relaxed, PBE-GGA.

a = 2.9605 Å, b = 4.5577 Å, c = 4.5577 Å
α = 90.00°, β = 90.00°, γ = 90.00°
With the nearest neighbours (Å) after each atom.
Atoms (fractional coordinates):
Pu1 0.5000 0.0000 0.0000  8 V 2.72, 2 Pu 2.96
V1 0.0000 0.0000 0.5000  4 Os 2.72, 4 Pu 2.72, 2 V 2.96
V2 0.0000 0.5000 0.0000  4 Os 2.72, 4 Pu 2.72, 2 V 2.96
Os1 0.5000 0.5000 0.5000  8 V 2.72, 2 Os 2.96

As for the formation energy: 2.1 kcal/mol of atoms. As for the total magnetization: 4.397 Bohr magnetons per cell. The calculation puts the mass density at 14.476 Mg/m³.